The following is a DFT calculation (GGA+U) of NdIn2WO8 after structural relaxation.

The structure in CIF format:
```
data_NdIn2WO8
_chemical_formula_sum 'Nd2 In4 W2 O16'
_space_group_name_H-M_alt 'C m m m'
_space_group_IT_number 65
_space_group_name_Hall '-C 2 2'
_cell_length_a 6.976
_cell_length_b 7.001
_cell_length_c 6.856
_cell_angle_alpha 90.00
_cell_angle_beta 90.00
_cell_angle_gamma 90.00
loop_
_atom_site_label
_atom_site_type_symbol
_atom_site_fract_x
_atom_site_fract_y
_atom_site_fract_z
Nd1 Nd 0.000 0.000 0.000
In1 In 0.000 0.500 0.262
W1 W 0.000 0.000 0.500
O1 O 0.000 0.188 0.292
O2 O 0.176 0.500 0.000
O3 O 0.215 0.500 0.500
```

Summary:
ρ	6801	kg/m3
E	-160.9	eV for the cell shown